[1]
VASP calculation (PBE) on Ba2TlBiAu6 after structural relaxation.

Summary:
Calculated formation energy in eV/atom: -0.202
Total moment in μB/cell: 0.00
Density of states at the Fermi level in states/eV/cell: 3.7

Cell: 7.7149 7.7149 7.7149 Å, 60.00 60.00 90.00°
With the nearest neighbours (Å) after each atom.
Positions (direct):
Au (0.2525, 0.2525, 0.4950)  1 Tl 2.70, 1 Bi 2.75
Tl (0.5000, 0.5000, 0.0000)  6 Au 2.70
Ba (0.2500, 0.7500, 0.5000)  12 Au 3.86
Au (0.2525, 0.7475, 0.0000)  1 Tl 2.70, 1 Bi 2.75
Au (0.2525, 0.2525, 0.0000)  1 Tl 2.70, 1 Bi 2.75
Bi (0.0000, 0.0000, 0.0000)  6 Au 2.75
Au (0.7475, 0.7475, 0.0000)  1 Tl 2.70, 1 Bi 2.75
Ba (0.7500, 0.2500, 0.5000)  12 Au 3.86
Au (0.7475, 0.7475, 0.5050)  1 Tl 2.70, 1 Bi 2.75
Au (0.7475, 0.2525, 0.0000)  1 Tl 2.70, 1 Bi 2.75



[2]
VASP calculation (PBE) on CaSm2Ho after structural relaxation.

Summary:
Calculated formation energy in eV/atom: 0.055
Total moment in μB/cell: 0.00
Density of states at the Fermi level in states/eV/cell: 5.8
ΔE to the lowest computed polymorph in meV per atom: 9

Cell: 3.6412 3.6412 10.4464 Å, 90.00 90.00 90.00°
With the nearest neighbours (Å) after each atom.
Positions (direct):
Ca (0.5000, 0.5000, 0.5000)  4 Ca 3.64, 8 Sm 3.80
Sm (0.0000, 0.0000, 0.7677)  4 Ho 3.54, 4 Sm 3.64, 4 Ca 3.80
Ho (0.5000, 0.5000, 0.0000)  8 Sm 3.54, 4 Ho 3.64
Sm (0.0000, 0.0000, 0.2323)  4 Ho 3.54, 4 Sm 3.64, 4 Ca 3.80



[3]
VASP calculation (PBE) on Pa2CrH after structural relaxation.

Summary:
Total moment in μB/cell: 0.00
Density of states at the Fermi level in states/eV/cell: 5.3
ΔE to the lowest computed polymorph in meV per atom: 0

Cell: 3.1396 3.1396 6.5312 Å, 90.00 90.00 90.00°
With the nearest neighbours (Å) after each atom.
Positions (direct):
Cr (0.5000, 0.5000, 0.5000)  8 Pa 2.85, 4 Cr 3.14
Pa (0.0000, 0.0000, 0.2272)  4 H 2.67, 4 Cr 2.85, 1 Pa 2.97
H (0.5000, 0.5000, 0.0000)  8 Pa 2.67
Pa (0.0000, 0.0000, 0.7728)  4 H 2.67, 4 Cr 2.85, 1 Pa 2.97



[4]
VASP calculation (PBE) on HoSi2Au4 after structural relaxation.

Summary:
Total moment in μB/cell: 0.00
VASP energy in Ha/atom: -0.16572
Density of states at the Fermi level in states/eV/cell: 2.7

Cell: 4.3828 4.3630 7.1516 Å, 107.76 90.00 90.00°
With the nearest neighbours (Å) after each atom.
Positions (direct):
Au (0.0000, 0.3291, 0.6583)  2 Si 2.48
Ho (0.0000, 0.0000, 0.0000)  8 Au 3.19-3.20, 8 Si 3.30
Si (0.5000, 0.4151, 0.8301)  1 Si 2.31, 4 Au 2.48
Au (0.5000, 0.8286, 0.6572)  2 Si 2.48
Au (0.5000, 0.1714, 0.3428)  2 Si 2.48
Si (0.5000, 0.5849, 0.1699)  1 Si 2.31, 4 Au 2.48
Au (0.0000, 0.6709, 0.3417)  2 Si 2.48



[5]
VASP calculation (PBE) on Mg2MnPt2 after structural relaxation.

Summary:
Calculated formation energy in eV/atom: -0.421
Total moment in μB/cell: 8.84
Density of states at the Fermi level in states/eV/cell: 4.1

Cell: 7.5807 7.5807 2.9128 Å, 90.00 90.00 90.00°
With the nearest neighbours (Å) after each atom.
Positions (direct):
Pt (0.1688, 0.6688, 0.5000)  6 Mg 2.60-2.71, 2 Pt 2.91
Mn (0.0000, 0.0000, 0.0000)  2 Mn 2.91, 4 Mg 2.97, 8 Pt 3.17
Pt (0.8312, 0.3312, 0.5000)  6 Mg 2.60-2.71, 2 Pt 2.91
Pt (0.6688, 0.8312, 0.5000)  6 Mg 2.60-2.71, 2 Pt 2.91
Mg (0.8699, 0.6301, 0.0000)  6 Pt 2.60-2.71, 3 Mg 2.79-2.91
Mg (0.1301, 0.3699, 0.0000)  6 Pt 2.60-2.71, 3 Mg 2.79-2.91
Mg (0.6301, 0.1301, 0.0000)  6 Pt 2.60-2.71, 3 Mg 2.79-2.91
Pt (0.3312, 0.1688, 0.5000)  6 Mg 2.60-2.71, 2 Pt 2.91
Mn (0.5000, 0.5000, 0.0000)  2 Mn 2.91, 4 Mg 2.97, 8 Pt 3.17
Mg (0.3699, 0.8699, 0.0000)  6 Pt 2.60-2.71, 3 Mg 2.79-2.91



[6]
VASP calculation (PBE) on LaCeHo2 after structural relaxation.

Summary:
Calculated formation energy in eV/atom: 0.080
Total moment in μB/cell: 0.71
Density of states at the Fermi level in states/eV/cell: 8.0
ΔE to the lowest computed polymorph in meV per atom: 19

Cell: 4.9517 5.1035 5.1035 Å, 90.00 90.00 90.00°
With the nearest neighbours (Å) after each atom.
Positions (direct):
Ce (0.5000, 0.5000, 0.5000)  8 Ho 3.56, 4 La 3.61
La (0.5000, 0.0000, 0.0000)  8 Ho 3.56, 4 Ce 3.61
Ho (0.0000, 0.0000, 0.5000)  4 La 3.56, 4 Ce 3.56, 4 Ho 3.61
Ho (0.0000, 0.5000, 0.0000)  4 La 3.56, 4 Ce 3.56, 4 Ho 3.61



[7]
VASP calculation (PBE) on TlFeTe2 after structural relaxation.

Summary:
Total moment in μB/cell: 2.33
VASP energy in Ha/atom: -0.14827
Density of states at the Fermi level in states/eV/cell: 4.3

Cell: 10.3158 10.3158 10.3158 Å, 19.28 19.28 19.28°
With the nearest neighbours (Å) after each atom.
Positions (direct):
Te (0.0287, 0.0287, 0.0287)  3 Fe 2.58
Tl (0.4836, 0.4836, 0.4836)  3 Fe 2.87
Te (0.2386, 0.2386, 0.2386)  3 Tl 3.34, 6 Te 3.45
Fe (0.7491, 0.7491, 0.7491)  3 Te 2.58, 3 Tl 2.87



[8]
VASP calculation (PBE) on LaNb2OsS after structural relaxation.

Summary:
Total moment in μB/cell: 0.00
VASP energy in Ha/atom: -0.27279
Density of states at the Fermi level in states/eV/cell: 7.5

Cell: 5.0248 4.5871 5.0248 Å, 90.00 90.00 90.00°
With the nearest neighbours (Å) after each atom.
Positions (direct):
Nb (0.0000, 0.0000, 0.5000)  2 Os 2.51
Os (0.0000, 0.0000, 0.0000)  2 S 2.29, 4 Nb 2.51
S (0.0000, 0.5000, 0.0000)  2 Os 2.29
Nb (0.5000, 0.0000, 0.0000)  2 Os 2.51
La (0.5000, 0.5000, 0.5000)  8 Nb 3.40, 4 S 3.55



[9]
VASP calculation (PBE) on TaCrAu2 after structural relaxation.

Summary:
Calculated formation energy in eV/atom: 0.140
Total moment in μB/cell: 2.53
Density of states at the Fermi level in states/eV/cell: 3.1
ΔE to the lowest computed polymorph in meV per atom: 57

Cell: 5.0271 5.0271 5.0271 Å, 132.85 132.85 68.89°
With the nearest neighbours (Å) after each atom.
Positions (direct):
Au (0.0000, 0.0000, 0.0000)  4 Cr 2.84, 4 Au 2.89, 4 Ta 2.89
Au (0.2500, 0.7500, 0.5000)  4 Ta 2.84, 4 Au 2.89, 4 Cr 2.89
Cr (0.5000, 0.5000, 0.0000)  8 Au 2.84-2.89, 4 Ta 2.89
Ta (0.7500, 0.2500, 0.5000)  8 Au 2.84-2.89, 4 Cr 2.89



[10]
VASP calculation (PBE) on LaZnSbSe after structural relaxation.

Summary:
Total moment in μB/cell: 0.00
VASP energy in Ha/atom: -0.16476
Density of states at the Fermi level in states/eV/cell: 1.1

Cell: 4.7161 4.7161 12.2869 Å, 78.94 78.94 60.00°
With the nearest neighbours (Å) after each atom.
Positions (direct):
La (0.8910, 0.8910, 0.3270)  4 Se 2.90-3.16
La (0.1090, 0.1090, 0.6730)  4 Se 2.90-3.16
Zn (0.6960, 0.6960, 0.9121)  4 Sb 2.80-2.81
Zn (0.3040, 0.3040, 0.0879)  4 Sb 2.80-2.81
Sb (0.3818, 0.3818, 0.8546)  4 Zn 2.80-2.81
Se (0.8031, 0.8031, 0.5907)  4 La 2.90-3.16
Se (0.1969, 0.1969, 0.4093)  4 La 2.90-3.16
Sb (0.6182, 0.6182, 0.1454)  4 Zn 2.80-2.81



[11]
VASP calculation (PBE) on RbTlAs2 after structural relaxation.

Summary:
Calculated formation energy in eV/atom: 0.341
Total moment in μB/cell: 0.00
Density of states at the Fermi level in states/eV/cell: 4.4
ΔE to the lowest computed polymorph in meV per atom: 313

Cell: 5.4151 5.4151 5.4151 Å, 60.00 60.00 60.00°
With the nearest neighbours (Å) after each atom.
Positions (direct):
Tl (0.5000, 0.5000, 0.5000)  8 As 3.32
As (0.7500, 0.7500, 0.7500)  4 Tl 3.32, 4 Rb 3.32
As (0.2500, 0.2500, 0.2500)  4 Tl 3.32, 4 Rb 3.32
Rb (0.0000, 0.0000, 0.0000)  8 As 3.32



[12]
VASP calculation (PBE) on NaGa6Pt after structural relaxation.

Summary:
Calculated formation energy in eV/atom: -0.305
Total moment in μB/cell: 0.00
Density of states at the Fermi level in states/eV/cell: 3.1

Cell: 4.3131 4.3131 8.4867 Å, 90.00 90.00 90.00°
With the nearest neighbours (Å) after each atom.
Positions (direct):
Pt (0.0000, 0.0000, 0.5000)  8 Ga 2.61
Ga (0.0000, 0.5000, 0.3271)  2 Pt 2.61, 2 Ga 2.65
Ga (0.5000, 0.0000, 0.3271)  2 Pt 2.61, 2 Ga 2.65
Ga (0.5000, 0.5000, 0.8535)  5 Ga 2.49-2.65
Ga (0.5000, 0.0000, 0.6729)  2 Pt 2.61, 2 Ga 2.65
Na (0.0000, 0.0000, 0.0000)  16 Ga 3.29-3.52
Ga (0.0000, 0.5000, 0.6729)  2 Pt 2.61, 2 Ga 2.65
Ga (0.5000, 0.5000, 0.1465)  5 Ga 2.49-2.65



> The lowest density of states at the Fermi level belongs to which entry?

LaZnSbSe



> Which formula does entry 12 have?

NaGa6Pt



Repeat the fourth record exactly.
VASP calculation (PBE) on HoSi2Au4 after structural relaxation.

Summary:
Total moment in μB/cell: 0.00
VASP energy in Ha/atom: -0.16572
Density of states at the Fermi level in states/eV/cell: 2.7

Cell: 4.3828 4.3630 7.1516 Å, 107.76 90.00 90.00°
With the nearest neighbours (Å) after each atom.
Positions (direct):
Au (0.0000, 0.3291, 0.6583)  2 Si 2.48
Ho (0.0000, 0.0000, 0.0000)  8 Au 3.19-3.20, 8 Si 3.30
Si (0.5000, 0.4151, 0.8301)  1 Si 2.31, 4 Au 2.48
Au (0.5000, 0.8286, 0.6572)  2 Si 2.48
Au (0.5000, 0.1714, 0.3428)  2 Si 2.48
Si (0.5000, 0.5849, 0.1699)  1 Si 2.31, 4 Au 2.48
Au (0.0000, 0.6709, 0.3417)  2 Si 2.48